{"formula": "Nd5Er12Sc3", "functional": "PBE-GGA", "state": "relaxed", "cell": [[-9.196, 9.196, 9.196], [9.196, -9.196, 9.196], [9.196, 9.196, -9.196]], "species": ["Nd", "Nd", "Nd", "Nd", "Nd", "Nd", "Nd", "Nd", "Nd", "Nd", "Nd", "Nd", "Nd", "Nd", "Nd", "Nd", "Nd", "Nd", "Nd", "Nd", "Er", "Er", "Er", "Er", "Er", "Er", "Er", "Er", "Er", "Er", "Er", "Er", "Er", "Er", "Er", "Er", "Er", "Er", "Er", "Er", "Er", "Er", "Er", "Er", "Er", "Er", "Er", "Er", "Er", "Er", "Er", "Er", "Er", "Er", "Er", "Er", "Er", "Er", "Er", "Er", "Er", "Er", "Er", "Er", "Er", "Er", "Er", "Er", "Sc", "Sc", "Sc", "Sc", "Sc", "Sc", "Sc", "Sc", "Sc", "Sc", "Sc", "Sc"], "fractional_positions": [[0.000, 0.000, 0.000], [0.000, 0.000, 0.500], [0.000, 0.500, 0.000], [0.000, 0.500, 0.500], [0.125, 0.750, 0.875], [0.125, 0.875, 0.250], [0.250, 0.125, 0.875], [0.250, 0.625, 0.375], [0.375, 0.250, 0.625], [0.375, 0.625, 0.750], [0.500, 0.000, 0.000], [0.500, 0.000, 0.500], [0.500, 0.500, 0.000], [0.500, 0.500, 0.500], [0.625, 0.375, 0.250], [0.625, 0.750, 0.375], [0.750, 0.375, 0.625], [0.750, 0.875, 0.125], [0.875, 0.125, 0.750], [0.875, 0.250, 0.125], [0.061, 0.641, 0.408], [0.061, 0.920, 0.653], [0.080, 0.233, 0.141], [0.080, 0.347, 0.939], [0.092, 0.733, 0.653], [0.092, 0.859, 0.439], [0.141, 0.080, 0.233], [0.141, 0.561, 0.908], [0.153, 0.233, 0.592], [0.153, 0.420, 0.561], [0.233, 0.141, 0.080], [0.233, 0.592, 0.153], [0.267, 0.347, 0.908], [0.267, 0.420, 0.359], [0.347, 0.908, 0.267], [0.347, 0.939, 0.080], [0.359, 0.267, 0.420], [0.359, 0.592, 0.939], [0.408, 0.061, 0.641], [0.408, 0.847, 0.767], [0.420, 0.359, 0.267], [0.420, 0.561, 0.153], [0.439, 0.092, 0.859], [0.439, 0.847, 0.580], [0.561, 0.153, 0.420], [0.561, 0.908, 0.141], [0.580, 0.439, 0.847], [0.580, 0.641, 0.733], [0.592, 0.153, 0.233], [0.592, 0.939, 0.359], [0.641, 0.408, 0.061], [0.641, 0.733, 0.580], [0.653, 0.061, 0.920], [0.653, 0.092, 0.733], [0.733, 0.580, 0.641], [0.733, 0.653, 0.092], [0.767, 0.408, 0.847], [0.767, 0.859, 0.920], [0.847, 0.580, 0.439], [0.847, 0.767, 0.408], [0.859, 0.439, 0.092], [0.859, 0.920, 0.767], [0.908, 0.141, 0.561], [0.908, 0.267, 0.347], [0.920, 0.653, 0.061], [0.920, 0.767, 0.859], [0.939, 0.080, 0.347], [0.939, 0.359, 0.592], [0.125, 0.250, 0.375], [0.125, 0.375, 0.750], [0.250, 0.375, 0.125], [0.250, 0.875, 0.625], [0.375, 0.125, 0.250], [0.375, 0.750, 0.125], [0.625, 0.250, 0.875], [0.625, 0.875, 0.750], [0.750, 0.125, 0.375], [0.750, 0.625, 0.875], [0.875, 0.625, 0.250], [0.875, 0.750, 0.625]], "dos_at_fermi_per_ev_atom": 1.90, "formation_energy_ev_per_atom": 1.02, "spacegroup": "Ia-3d, No. 230"}

***

{"formula": "Nd11Er9Sc4", "functional": "PBE-GGA", "state": "relaxed", "cell": [[8.394, -12.700, 0.000], [8.394, 12.700, 0.000], [0.000, 0.000, 3.593]], "species": ["Nd", "Nd", "Nd", "Nd", "Nd", "Nd", "Nd", "Nd", "Nd", "Nd", "Nd", "Er", "Er", "Er", "Er", "Er", "Er", "Er", "Er", "Er", "Sc", "Sc", "Sc", "Sc"], "fractional_positions": [[0.000, 0.000, 0.000], [0.046, 0.406, 0.000], [0.159, 0.841, 0.000], [0.298, 0.298, 0.000], [0.370, 0.630, 0.000], [0.406, 0.046, 0.000], [0.594, 0.954, 0.000], [0.630, 0.370, 0.000], [0.702, 0.702, 0.000], [0.841, 0.159, 0.000], [0.954, 0.594, 0.000], [0.074, 0.217, 0.500], [0.167, 0.629, 0.500], [0.217, 0.074, 0.500], [0.371, 0.833, 0.500], [0.500, 0.500, 0.500], [0.629, 0.167, 0.500], [0.783, 0.926, 0.500], [0.833, 0.371, 0.500], [0.926, 0.783, 0.500], [0.241, 0.446, 0.500], [0.446, 0.241, 0.500], [0.554, 0.759, 0.500], [0.759, 0.554, 0.500]], "dos_at_fermi_per_ev_atom": 1.28, "formation_energy_ev_per_atom": 0.05, "spacegroup": "Cmmm, No. 65"}